The following is a PBE calculation of a relaxed La2NiH6Ru crystal, from the Alexandria database.

Lattice parameters (Å, degrees): 5.309 5.306 5.297 60.10 60.03 59.87
Sites, in units of the cell vectors:
La 0.250 0.250 0.250
La 0.750 0.750 0.750
Ni 0.000 0.000 0.000
H 0.254 0.746 0.254
H 0.254 0.746 0.746
H 0.255 0.255 0.745
H 0.745 0.745 0.255
H 0.746 0.254 0.254
H 0.746 0.254 0.746
Ru 0.500 0.500 0.500

Values from the calculation:
Uncorrected energy: -4.975 eV per atom
Crystal system: orthorhombic